Record 1
The following is a PBE calculation of a relaxed Hf2InB crystal, from Alexandria.

Space-group type: No. 65
E above lowest polymorph in meV per atom: 341
Size of the total moment in μB per atom: 0.00
DFT formation energy in meV/atom: -94.6

a b c (Å): 2.988 2.988 8.018
angles (deg): 90.00 90.00 80.59
Fractional coordinates of all 4 atoms:
B 0.500 0.500 0.500
In 0.500 0.500 0.000
Hf 0.000 0.000 0.690
Hf 0.000 0.000 0.310

---

Record 2
The following is a PBE calculation of a relaxed Hf2InB crystal, from Alexandria.

Space-group type: No. 166
E above lowest polymorph in meV per atom: 0
Size of the total moment in μB per atom: 0.00
DFT formation energy in meV/atom: -435.3

a b c (Å): 3.416 3.416 7.825
angles (deg): 77.39 77.39 60.00
Fractional coordinates of all 4 atoms:
B 0.000 0.000 0.000
Hf 0.723 0.723 0.832
Hf 0.277 0.277 0.168
In 0.500 0.500 0.500